Entry 1:
CdAs3C | PBE | relaxed

abc: 4.4677 4.4677 4.4677
angles: 90.00 90.00 90.00
With the nearest neighbours (Å) after each atom.
Space group Pm-3m (No. 221)
Unique sites:
Cd 0.0000 0.0000 0.0000 (multiplicity 1)  12 As 3.16
As 0.0000 0.5000 0.5000 (multiplicity 3)  2 C 2.23
C 0.5000 0.5000 0.5000 (multiplicity 1)  6 As 2.23

Results
The calculation puts the final energy at -19.08 eV/cell. The value obtained for the spin magnetization is 0.0000 μB per atom. The value obtained for the theoretical density is 6.5 g/cm3. Its formation energy is 96.6 kJ per mole of atoms. For the volume, the calculation gives 17.84 Å³ per atom.

***

Entry 2:
RbZnSbAu | PBE | relaxed

abc: 4.0956 4.0956 14.1394
angles: 90.00 90.00 90.00
With the nearest neighbours (Å) after each atom.
Space group P4/nmm (No. 129, origin choice 2)
Unique sites:
Rb 0.2500 0.2500 0.2068 (multiplicity 2)  4 Au 3.57, 4 Sb 3.73
Zn 0.2500 0.7500 0.5000 (multiplicity 2)  4 Sb 2.72, 4 Zn 2.90
Sb 0.2500 0.2500 0.6267 (multiplicity 2)  4 Zn 2.72
Au 0.2500 0.7500 0.0000 (multiplicity 2)  4 Au 2.90

Results
The calculation puts the final energy at -20.97 eV/cell. The uncorrected formation energy is -211 meV/atom. The value obtained for the spin magnetization is 0.0000 μB per atom. The value obtained for the theoretical density is 6.6 g/cm3. For the volume, the calculation gives 29.65 Å³ per atom.

***

Entry 3:
Sb2AsIr | PBE | relaxed

abc: 6.2660 6.2660 11.6972
angles: 90.00 90.00 90.00
With the nearest neighbours (Å) after each atom.
Space group I-42d (No. 122)
Unique sites:
Sb 0.2191 0.2500 0.1250 (multiplicity 8)  2 Ir 2.54, 2 As 2.77
As 0.0000 0.0000 0.5000 (multiplicity 4)  4 Sb 2.77
Ir 0.0000 0.0000 0.0000 (multiplicity 4)  4 Sb 2.54

Results
The calculation puts the final energy at -84.74 eV/cell. The uncorrected formation energy is 143 meV/atom. The value obtained for the spin magnetization is 0.0000 μB per atom. The value obtained for the theoretical density is 7.4 g/cm3. For the volume, the calculation gives 28.70 Å³ per atom.

***

Entry 4:
TaTeP2S | PBE | relaxed

abc: 4.9800 4.9800 4.5965
angles: 90.00 90.00 90.00
With the nearest neighbours (Å) after each atom.
Space group P4/mmm (No. 123)
Unique sites:
Ta 0.0000 0.0000 0.0000 (multiplicity 1)  2 S 2.30, 4 P 2.49
Te 0.5000 0.5000 0.5000 (multiplicity 1)  8 P 3.39, 4 S 3.52
P 0.0000 0.5000 0.0000 (multiplicity 2)  2 Ta 2.49
S 0.0000 0.0000 0.5000 (multiplicity 1)  2 Ta 2.30

Results
The calculation puts the final energy at -28.60 eV/cell. The uncorrected formation energy is 267 meV/atom. The value obtained for the spin magnetization is 0.0000 μB per atom. The value obtained for the theoretical density is 5.9 g/cm3. For the volume, the calculation gives 22.80 Å³ per atom.

***

Entry 5:
CsMoP3 | PBE | relaxed

abc: 4.8605 4.8605 4.8605
angles: 90.00 90.00 90.00
With the nearest neighbours (Å) after each atom.
Space group Pm-3m (No. 221)
Unique sites:
Cs 0.0000 0.0000 0.0000 (multiplicity 1)  12 P 3.44
Mo 0.5000 0.5000 0.5000 (multiplicity 1)  6 P 2.43
P 0.0000 0.5000 0.5000 (multiplicity 3)  2 Mo 2.43

Results
The calculation puts the final energy at -27.26 eV/cell. The value obtained for the spin magnetization is 0.0000 μB per atom. The value obtained for the theoretical density is 4.7 g/cm3. Its formation energy is 12.5 kJ per mole of atoms. For the volume, the calculation gives 22.97 Å³ per atom.

***

Entry 6:
KCuP2Se5 | PBE | relaxed

abc: 11.1517 7.9424 13.3866
angles: 90.00 123.26 90.00
With the nearest neighbours (Å) after each atom.
Space group P2_1/c (No. 14)
Unique sites:
K 0.1228 0.1463 0.2069 (multiplicity 4)  8 Se 3.48-3.76
Cu 0.3614 0.6671 0.1685 (multiplicity 4)  4 Se 2.40-2.51
P 0.3091 0.6585 0.4156 (multiplicity 4)  3 Se 2.17-2.31, 1 P 2.29
P 0.3280 0.0603 0.0342 (multiplicity 4)  3 Se 2.17-2.30, 1 P 2.29
Se 0.1198 0.1811 0.9465 (multiplicity 4)  1 P 2.17
Se 0.1989 0.5824 0.2294 (multiplicity 4)  1 P 2.17
Se 0.2190 0.6268 0.9560 (multiplicity 4)  1 P 2.19, 1 Cu 2.40
Se 0.4289 0.5298 0.7206 (multiplicity 4)  1 P 2.22
Se 0.4590 0.2472 0.5033 (multiplicity 4)  2 P 2.30-2.31

Results
The calculation puts the final energy at -146.80 eV/cell. The uncorrected formation energy is -363 meV/atom. The value obtained for the spin magnetization is 0.0000 μB per atom. The value obtained for the theoretical density is 3.7 g/cm3. For the volume, the calculation gives 27.54 Å³ per atom.

***

Entry 7:
RbTlIrBr6 | PBE | relaxed

abc: 7.5565 7.5565 7.1211
angles: 90.00 90.00 120.00
With the nearest neighbours (Å) after each atom.
Space group P312 (No. 149)
Unique sites:
Rb 0.0000 0.0000 0.0000 (multiplicity 1)  6 Br 3.51
Tl 0.3333 0.6667 0.5000 (multiplicity 1)  6 Br 3.14
Ir 0.6667 0.3333 0.5000 (multiplicity 1)  6 Br 2.50
Br 0.3985 0.0625 0.7046 (multiplicity 6)  1 Ir 2.50

Results
The calculation puts the final energy at -28.41 eV/cell. The uncorrected formation energy is -686 meV/atom. The value obtained for the spin magnetization is 0.0000 μB per atom. The value obtained for the theoretical density is 4.5 g/cm3. For the volume, the calculation gives 39.13 Å³ per atom.

***

Entry 8:
Cu3OsO | PBE | relaxed

abc: 3.9264 3.9264 3.9264
angles: 90.00 90.00 90.00
With the nearest neighbours (Å) after each atom.
Space group Pm-3m (No. 221)
Unique sites:
Cu 0.0000 0.0000 0.5000 (multiplicity 3)  2 O 1.96
Os 0.5000 0.5000 0.5000 (multiplicity 1)  12 Cu 2.78
O 0.0000 0.0000 0.0000 (multiplicity 1)  6 Cu 1.96

Results
The calculation puts the final energy at -25.69 eV/cell. The uncorrected formation energy is 557 meV/atom. The value obtained for the spin magnetization is 0.2294 μB per atom. The value obtained for the theoretical density is 10.9 g/cm3. For the volume, the calculation gives 12.11 Å³ per atom.

***

What is the final energy in the first record? -19.08 eV/cell